Record 1
The following is a PBE calculation of CuCl3 after structural relaxation, from the Alexandria database.

Cell lengths 6.2406, 6.2406, 6.2406 Å; angles 151.84, 75.70, 111.43 degrees
Fractional coordinates of all 4 atoms:
Cu 0.0000 0.0000 0.0000
Cl 0.1628 0.4997 0.6631
Cl 0.4990 0.9990 0.5000
Cl 0.8367 0.4997 0.3369

formation energy without anion corrections = -0.179 eV/atom
total energy = -2.588 eV per atom
DOS at the Fermi energy = 2.79 states/eV/f.u.

Record 2
The following is a PBE calculation of Y5Zn4Ni after structural relaxation, from the Alexandria database.

Cell lengths 3.5426, 3.5426, 17.7036 Å; angles 90.00, 90.00, 90.00 degrees
Fractional coordinates of all 10 atoms:
Y 0.0000 0.0000 0.0000
Y 0.0000 0.0000 0.2042
Y 0.0000 0.0000 0.4080
Y 0.0000 0.0000 0.5920
Y 0.0000 0.0000 0.7958
Zn 0.5000 0.5000 0.1027
Zn 0.5000 0.5000 0.3044
Zn 0.5000 0.5000 0.6956
Zn 0.5000 0.5000 0.8973
Ni 0.5000 0.5000 0.5000

total energy = -4.682 eV per atom
DFT formation energy = -362 meV per atom
DOS at the Fermi energy = 9.11 states/eV/f.u.

Record 3
The following is a PBE calculation of YZnB2O after structural relaxation, from the Alexandria database.

Cell lengths 3.7012, 3.7012, 5.1522 Å; angles 90.00, 90.00, 90.00 degrees
Fractional coordinates of all 5 atoms:
Y 0.0000 0.0000 0.0000
Zn 0.5000 0.5000 0.5000
B 0.0000 0.5000 0.5000
B 0.5000 0.0000 0.5000
O 0.5000 0.5000 0.0000

formation energy without anion corrections = 0.266 eV/atom
total energy = -4.944 eV per atom
DOS at the Fermi energy = 3.47 states/eV/f.u.

- Among the records above, which one has the highest total energy?
  CuCl3